[1]
The following is a DFT calculation (PBE) of crystalline Ho2SiNi at its relaxed geometry.

Magnetization, μB/cell: 0.00
E above lowest polymorph, meV/atom: 180.8
V, Å³/cell: 81
Space group: No. 123
Formation energy (no corrections), eV per atom: -0.47

abc: 4.7614 4.7614 3.5747
angles: 90.00 90.00 90.00
Fractional coordinates of all 4 atoms:
Ho 0.0000 0.5000 0.0000
Ho 0.5000 0.0000 0.0000
Si 0.0000 0.0000 0.5000
Ni 0.5000 0.5000 0.5000


[2]
The following is a DFT calculation (PBE) of crystalline HoSi3Ni5 at its relaxed geometry.

Magnetization, μB/cell: 0.00
V, Å³/cell: 246
Space group: No. 63
Formation energy (no corrections), eV per atom: -0.67

abc: 6.1179 6.1179 11.5431
angles: 90.00 90.00 145.28
Fractional coordinates of all 18 atoms:
Ho 0.1581 0.8419 0.7500
Ho 0.8419 0.1581 0.2500
Si 0.1141 0.8859 0.2500
Si 0.3831 0.6169 0.0410
Si 0.3831 0.6169 0.4590
Si 0.6169 0.3831 0.5410
Si 0.6169 0.3831 0.9590
Si 0.8859 0.1141 0.7500
Ni 0.0000 0.0000 0.0000
Ni 0.0000 0.0000 0.5000
Ni 0.1973 0.8027 0.0685
Ni 0.1973 0.8027 0.4315
Ni 0.4494 0.5506 0.6456
Ni 0.4494 0.5506 0.8544
Ni 0.5506 0.4494 0.1456
Ni 0.5506 0.4494 0.3544
Ni 0.8027 0.1973 0.5685
Ni 0.8027 0.1973 0.9315


[3]
The following is a DFT calculation (PBE) of crystalline HoSi3Ni9 at its relaxed geometry.

Magnetization, μB/cell: 0.00
V, Å³/cell: 157
Space group: No. 12
Formation energy (no corrections), eV per atom: -0.50

abc: 6.2560 6.2560 6.0997
angles: 97.95 97.95 135.06
Fractional coordinates of all 13 atoms:
Ho 0.0000 0.0000 0.0000
Si 0.0000 0.5000 0.0000
Si 0.5000 0.0000 0.0000
Si 0.5000 0.5000 0.5000
Ni 0.0000 0.0000 0.5000
Ni 0.0189 0.6647 0.6574
Ni 0.2854 0.5116 0.7772
Ni 0.3353 0.9811 0.3426
Ni 0.4884 0.7146 0.2228
Ni 0.5116 0.2854 0.7772
Ni 0.6647 0.0189 0.6574
Ni 0.7146 0.4884 0.2228
Ni 0.9811 0.3353 0.3426


[4]
The following is a DFT calculation (PBE) of crystalline Ho2Si3Ni2 at its relaxed geometry.

Magnetization, μB/cell: 0.00
E above lowest polymorph, meV/atom: 115.9
V, Å³/cell: 113
Space group: No. 12
Formation energy (no corrections), eV per atom: -0.69

abc: 5.3605 5.3605 6.3348
angles: 114.15 114.15 43.62
Fractional coordinates of all 7 atoms:
Ho 0.1492 0.1492 0.2802
Ho 0.8508 0.8508 0.7198
Si 0.3872 0.3872 0.0610
Si 0.5000 0.5000 0.5000
Si 0.6128 0.6128 0.9390
Ni 0.1379 0.1379 0.7464
Ni 0.8621 0.8621 0.2536